<i>
! NpBIr (GGA-PBE, optimized geometry); values from VASP
! D(E_F) ... 3.11 states/eV/cell
&SYSTEM
  ibrav = 0, nat = 3, ntyp = 3
/
ATOMIC_SPECIES
Np 237.00 Np.upf
B 10.81 B.upf
Ir 192.22 Ir.upf
ATOMIC_POSITIONS crystal
Np 0.013 0.013 0.026
B 0.700 0.700 0.399
Ir 0.287 0.287 0.575
CELL_PARAMETERS angstrom
2.806 0.000 0.000
0.000 2.806 0.000
-1.403 -1.403 5.480

***

<ii>
! NpBIr (GGA-PBE, optimized geometry); values from VASP
! D(E_F) ... 7.34 states/eV/cell
&SYSTEM
  ibrav = 0, nat = 3, ntyp = 3
/
ATOMIC_SPECIES
Np 237.00 Np.upf
B 10.81 B.upf
Ir 192.22 Ir.upf
ATOMIC_POSITIONS crystal
Np 0.667 0.333 0.667
B 0.167 0.667 0.333
Ir 0.167 0.000 0.000
CELL_PARAMETERS angstrom
4.012 0.000 0.000
0.000 3.762 0.000
0.000 -1.881 3.258

***

Most stable of them? <ii>.

***

<i>
! B3IrO (GGA-PBE, optimized geometry); values from VASP
! D(E_F) ... 1.98 states/eV/cell
&SYSTEM
  ibrav = 0, nat = 5, ntyp = 3
/
ATOMIC_SPECIES
B 10.81 B.upf
Ir 192.22 Ir.upf
O 16.00 O.upf
ATOMIC_POSITIONS crystal
B 0.000 0.500 0.000
B 0.000 0.000 0.500
B 0.500 0.000 0.000
Ir 0.500 0.500 0.500
O 0.000 0.000 0.000
CELL_PARAMETERS angstrom
3.469 0.000 0.000
0.000 3.469 0.000
0.000 0.000 3.469

***

<ii>
! B3IrO (GGA-PBE, optimized geometry); values from VASP
! D(E_F) ... 6.33 states/eV/cell
&SYSTEM
  ibrav = 0, nat = 5, ntyp = 3
/
ATOMIC_SPECIES
B 10.81 B.upf
Ir 192.22 Ir.upf
O 16.00 O.upf
ATOMIC_POSITIONS crystal
B 0.000 0.500 0.000
B 0.000 0.000 0.500
B 0.500 0.000 0.000
Ir 0.000 0.000 0.000
O 0.500 0.500 0.500
CELL_PARAMETERS angstrom
4.073 0.000 0.000
0.000 4.073 0.000
0.000 0.000 4.073

***

Most stable of them? <ii>.

***

<i>
! B2IrOs2 (GGA-PBE, optimized geometry); values from VASP
! D(E_F) ... 10.72 states/eV/cell
&SYSTEM
  ibrav = 0, nat = 10, ntyp = 3
/
ATOMIC_SPECIES
B 10.81 B.upf
Ir 192.22 Ir.upf
Os 190.23 Os.upf
ATOMIC_POSITIONS crystal
B 0.352 0.852 0.000
B 0.852 0.648 0.000
B 0.648 0.148 0.000
B 0.148 0.352 0.000
Ir 0.000 0.000 0.000
Ir 0.500 0.500 0.000
Os 0.151 0.651 0.500
Os 0.651 0.849 0.500
Os 0.849 0.349 0.500
Os 0.349 0.151 0.500
CELL_PARAMETERS angstrom
6.359 0.000 0.000
0.000 6.359 0.000
0.000 0.000 2.752

***

<ii>
! B2IrOs2 (GGA-PBE, optimized geometry); values from VASP
! D(E_F) ... 3.93 states/eV/cell
&SYSTEM
  ibrav = 0, nat = 5, ntyp = 3
/
ATOMIC_SPECIES
B 10.81 B.upf
Ir 192.22 Ir.upf
Os 190.23 Os.upf
ATOMIC_POSITIONS crystal
B 0.750 0.250 0.500
B 0.250 0.750 0.500
Ir 0.000 0.000 0.000
Os 0.355 0.355 0.290
Os 0.645 0.645 0.710
CELL_PARAMETERS angstrom
-2.241 2.805 -1.299
-2.923 -2.445 -0.238
-3.690 1.121 3.176

***

<iii>
! B2IrOs2 (GGA-PBE, optimized geometry); values from VASP
! D(E_F) ... 7.97 states/eV/cell
&SYSTEM
  ibrav = 0, nat = 10, ntyp = 3
/
ATOMIC_SPECIES
B 10.81 B.upf
Ir 192.22 Ir.upf
Os 190.23 Os.upf
ATOMIC_POSITIONS crystal
B 0.155 0.655 0.500
B 0.655 0.845 0.500
B 0.845 0.345 0.500
B 0.345 0.155 0.500
Ir 0.000 0.000 0.000
Ir 0.500 0.500 0.000
Os 0.363 0.863 0.000
Os 0.863 0.637 0.000
Os 0.637 0.137 0.000
Os 0.137 0.363 0.000
CELL_PARAMETERS angstrom
-4.012 -4.942 -1.765
5.248 -3.788 -1.324
-0.009 -0.902 2.546

***

Most stable of them? <i>.

***

<i>
! BIrOs3 (GGA-PBE, optimized geometry); values from VASP
! D(E_F) ... 8.20 states/eV/cell
&SYSTEM
  ibrav = 0, nat = 5, ntyp = 3
/
ATOMIC_SPECIES
B 10.81 B.upf
Ir 192.22 Ir.upf
Os 190.23 Os.upf
ATOMIC_POSITIONS crystal
B 0.500 0.500 0.500
Ir 0.000 0.000 0.000
Os 0.000 0.500 0.000
Os 0.000 0.000 0.500
Os 0.500 0.000 0.000
CELL_PARAMETERS angstrom
4.717 0.000 0.000
0.000 4.717 0.000
0.000 0.000 4.717

***

<ii>
! BIrOs3 (GGA-PBE, optimized geometry); values from VASP
! D(E_F) ... 5.21 states/eV/cell
&SYSTEM
  ibrav = 0, nat = 5, ntyp = 3
/
ATOMIC_SPECIES
B 10.81 B.upf
Ir 192.22 Ir.upf
Os 190.23 Os.upf
ATOMIC_POSITIONS crystal
B 0.000 0.000 0.000
Ir 0.500 0.500 0.500
Os 0.000 0.500 0.000
Os 0.000 0.000 0.500
Os 0.500 0.000 0.000
CELL_PARAMETERS angstrom
4.062 0.000 0.000
0.000 4.062 0.000
0.000 0.000 4.062

***

Most stable of them? <ii>.

***

<i>
! B2Ir2Os (GGA-PBE, optimized geometry); values from VASP
! D(E_F) ... 2.66 states/eV/cell
&SYSTEM
  ibrav = 0, nat = 5, ntyp = 3
/
ATOMIC_SPECIES
B 10.81 B.upf
Ir 192.22 Ir.upf
Os 190.23 Os.upf
ATOMIC_POSITIONS crystal
B 0.393 0.393 0.213
B 0.607 0.607 0.787
Ir 0.750 0.250 0.500
Ir 0.250 0.750 0.500
Os 0.000 0.000 0.000
CELL_PARAMETERS angstrom
3.776 0.000 0.000
0.000 3.776 0.000
1.888 1.888 4.116

***

<ii>
! B2Ir2Os (GGA-PBE, optimized geometry); values from VASP
! D(E_F) ... 5.06 states/eV/cell
&SYSTEM
  ibrav = 0, nat = 10, ntyp = 3
/
ATOMIC_SPECIES
B 10.81 B.upf
Ir 192.22 Ir.upf
Os 190.23 Os.upf
ATOMIC_POSITIONS crystal
B 0.347 0.847 0.000
B 0.847 0.653 0.000
B 0.653 0.153 0.000
B 0.153 0.347 0.000
Ir 0.153 0.653 0.500
Ir 0.653 0.847 0.500
Ir 0.847 0.347 0.500
Ir 0.347 0.153 0.500
Os 0.000 0.000 0.000
Os 0.500 0.500 0.000
CELL_PARAMETERS angstrom
6.453 0.000 0.000
0.000 6.453 0.000
0.000 0.000 2.695

***

Most stable of them? <ii>.

***

<i>
! B3IrOs (GGA-PBE, optimized geometry); values from VASP
! D(E_F) ... 3.22 states/eV/cell
&SYSTEM
  ibrav = 0, nat = 5, ntyp = 3
/
ATOMIC_SPECIES
B 10.81 B.upf
Ir 192.22 Ir.upf
Os 190.23 Os.upf
ATOMIC_POSITIONS crystal
B 0.000 0.500 0.000
B 0.000 0.000 0.500
B 0.500 0.000 0.000
Ir 0.500 0.500 0.500
Os 0.000 0.000 0.000
CELL_PARAMETERS angstrom
4.013 0.000 0.000
0.000 4.013 0.000
0.000 0.000 4.013

***

<ii>
! B3IrOs (GGA-PBE, optimized geometry); values from VASP
! D(E_F) ... 4.78 states/eV/cell
&SYSTEM
  ibrav = 0, nat = 5, ntyp = 3
/
ATOMIC_SPECIES
B 10.81 B.upf
Ir 192.22 Ir.upf
Os 190.23 Os.upf
ATOMIC_POSITIONS crystal
B 0.000 0.500 0.000
B 0.000 0.000 0.500
B 0.500 0.000 0.000
Ir 0.000 0.000 0.000
Os 0.500 0.500 0.500
CELL_PARAMETERS angstrom
-3.507 0.261 -1.903
-0.009 -3.964 -0.527
-1.921 -0.458 3.477

***

Most stable of them? <i>.